Material: LiHgOs2Br
Method: DFT, PBE
State: relaxed

extended XYZ file:
```
5
Lattice="5.139 0.000 0.000 0.000 5.139 0.000 0.000 0.000 5.066" Properties=species:S:1:pos:R:3 pbc="T T T"
Li 0.000 0.000 0.000
Hg 0.000 0.000 2.533
Os 0.000 2.570 2.533
Os 2.570 0.000 2.533
Br 2.570 2.570 0.000
```

Computed properties:
SG: P4/mmm (123)

---

Material: LiHg2PBr
Method: DFT, PBE
State: relaxed

extended XYZ file:
```
5
Lattice="5.234 0.000 0.000 0.000 5.234 0.000 0.000 0.000 5.436" Properties=species:S:1:pos:R:3 pbc="T T T"
Li 0.000 0.000 0.000
Hg 0.000 2.617 2.718
Hg 2.617 0.000 2.718
P 2.617 2.617 2.718
Br 2.617 2.617 0.000
```

Computed properties:
SG: P4/mmm (123)

---

Material: Li2HgPdBr6
Method: DFT, PBE
State: relaxed

extended XYZ file:
```
10
Lattice="6.641 0.000 0.000 3.178 6.601 0.000 1.980 -0.094 7.371" Properties=species:S:1:pos:R:3 pbc="T T T"
Li 0.000 0.000 0.000
Li 5.174 2.643 5.575
Hg 2.593 0.508 2.847
Pd 8.368 3.619 6.660
Br 3.732 5.757 2.457
Br 1.604 2.325 0.135
Br 6.441 4.907 5.720
Br 4.499 2.069 3.145
Br 7.289 5.694 0.442
Br 7.517 1.596 5.540
```

Computed properties:
SG: P1 (1)

---

Material: RbLi3Hg4Br12
Method: DFT, PBE
State: relaxed

extended XYZ file:
```
20
Lattice="7.585 4.379 3.490 -7.585 4.379 3.490 0.000 -8.758 3.490" Properties=species:S:1:pos:R:3 pbc="T T T"
Rb 0.000 0.000 0.000
Li -4.244 -1.407 3.490
Li 3.341 -2.972 3.490
Li 0.903 4.379 3.490
Hg -3.298 -5.713 5.235
Hg 0.000 0.000 5.235
Hg -3.298 5.713 5.235
Hg 6.597 0.000 5.235
Br -4.646 -3.499 5.184
Br -5.977 0.000 5.235
Br -0.707 -5.773 5.286
Br -2.589 0.000 5.235
Br -4.646 3.499 5.286
Br 2.988 -5.176 5.235
Br 1.295 -2.242 5.235
Br -0.707 5.773 5.184
Br 1.295 2.242 5.235
Br 5.353 -2.274 5.184
Br 2.988 5.176 5.235
Br 5.353 2.274 5.286
```

Computed properties:
SG: R32 (155)

---

Material: RbLiHg2Br6
Method: DFT, PBE
State: relaxed

extended XYZ file:
```
10
Lattice="7.076 0.000 0.000 -2.538 6.682 0.000 -0.779 -2.396 8.047" Properties=species:S:1:pos:R:3 pbc="T T T"
Rb 0.000 0.000 0.000
Li 3.663 -0.453 4.702
Hg -0.373 2.242 4.641
Hg 2.963 3.052 2.088
Br -1.329 2.791 2.165
Br 1.832 0.924 3.447
Br 1.358 0.339 7.708
Br 0.706 4.174 6.089
Br 2.884 5.537 2.976
Br 4.880 1.181 6.208
```

Computed properties:
SG: P1 (1)

---

Material: Rb2LiHgBr6
Method: DFT, PBE
State: relaxed

extended XYZ file:
```
10
Lattice="-3.880 3.880 5.501 3.880 -3.880 5.501 3.880 3.880 -5.501" Properties=species:S:1:pos:R:3 pbc="T T T"
Rb 3.880 0.000 2.751
Rb 0.000 3.880 2.751
Li 0.000 0.000 0.000
Hg 0.000 0.000 5.501
Br 1.910 1.910 0.000
Br 1.970 -1.970 5.501
Br 0.000 0.000 2.729
Br 0.000 0.000 8.273
Br -1.970 1.970 5.501
Br 1.970 1.970 5.501
```

Computed properties:
SG: I4/mmm (139)

---

V per entry: 133.8 148.9 323.1 695.5 380.4 331.3 Å³/cell
Total moment per entry: 5.8 0.0 0.0 0.0 0.0 0.0 μB per formula unit
Formation energy (no corrections) per entry: 2.003 0.039 -0.803 -0.855 -0.903 -1.053 eV/atom